The following is a DFT calculation (SCAN) of a crystal of Ca2CdSe relaxed with PBEsol.

Properties
Symmetry: P4/mmm, No. 123
Total magnetization (μB per cell): 0.00
Formation energy from raw total energies (eV/atom): -1.110

Lattice parameters (Å, degrees): 3.703 3.703 7.217 90.00 90.00 90.00
Element x y z (fractional)
Ca 0.000 0.000 0.236
Ca 0.000 0.000 0.764
Se 0.500 0.500 0.000
Cd 0.500 0.500 0.500


The following is a DFT calculation (SCAN) of a crystal of TiCdHg3 relaxed with PBEsol.

Properties
Symmetry: Pm-3m, No. 221
Total magnetization (μB per cell): 2.71
Formation energy (eV/f.u.): 3.43

Lattice parameters (Å, degrees): 5.216 5.216 5.216 90.00 90.00 90.00
Element x y z (fractional)
Ti 0.500 0.500 0.500
Hg 0.000 0.500 0.000
Hg 0.000 0.000 0.500
Hg 0.500 0.000 0.000
Cd 0.000 0.000 0.000


The following is a DFT calculation (SCAN) of a crystal of LiSc relaxed with PBEsol.

Properties
Symmetry: P4/nmm, No. 129
Total magnetization (μB per cell): 1.61
Formation energy (eV/f.u.): 0.20

Lattice parameters (Å, degrees): 3.113 3.113 9.227 90.00 90.00 90.00
Element x y z (fractional)
Sc 0.500 0.000 0.623
Sc 0.000 0.500 0.377
Li 0.500 0.000 0.116
Li 0.000 0.500 0.884